# 1
First-principles (PBE) data for an optimized crystal structure of CaCeGe, as listed in the Alexandria database.

Summary:
Total energy = -4.42 eV/atom
Energy of formation from the pure elements = -22.30 kJ per mole of atoms
Space-group type = P3m1 (156)

Cell lengths 4.0492, 4.9041, 4.9041 Å; angles 120.00, 90.00, 90.00 degrees
Last column: nearest neighbours and their distance in Å.
Element x y z (fractional)
1 Ca 0.5889 0.6667 0.3333  3 Ge 2.99
2 Ce 0.0558 0.0000 0.0000  3 Ge 3.08, 3 Ca 3.40
3 Ge 0.3553 0.3333 0.6667  3 Ca 2.99, 3 Ce 3.08

***

# 2
First-principles (PBE) data for an optimized crystal structure of CaCeGe, as listed in the Alexandria database.

Summary:
Total energy = -4.58 eV/atom
Energy of formation from the pure elements = -37.92 kJ per mole of atoms
Space-group type = F-43m (216)

Cell lengths 5.0520, 5.0520, 5.0520 Å; angles 60.00, 60.00, 60.00 degrees
Last column: nearest neighbours and their distance in Å.
Element x y z (fractional)
1 Ca 0.5000 0.5000 0.5000  4 Ge 3.09
2 Ge 0.2500 0.2500 0.2500  4 Ce 3.09, 4 Ca 3.09
3 Ce 0.0000 0.0000 0.0000  4 Ge 3.09